Record 1
Density functional theory data (SCAN) for La3Ni3Bi4 at its PBEsol-relaxed geometry.

abc: 8.5014 8.5014 8.5014
angles: 109.47 109.47 109.47
With the nearest neighbours (Å) after each atom.
Positions (direct):
La 0.1250 0.7500 0.8750  4 Ni 3.01, 4 Bi 3.34
La 0.2500 0.6250 0.3750  4 Ni 3.01, 4 Bi 3.34
La 0.3750 0.2500 0.6250  4 Ni 3.01, 4 Bi 3.34
La 0.6250 0.3750 0.2500  4 Ni 3.01, 4 Bi 3.34
La 0.7500 0.8750 0.1250  4 Ni 3.01, 4 Bi 3.34
La 0.8750 0.1250 0.7500  4 Ni 3.01, 4 Bi 3.34
Ni 0.1250 0.8750 0.2500  4 Bi 2.72, 4 La 3.01
Ni 0.2500 0.1250 0.8750  4 Bi 2.72, 4 La 3.01
Ni 0.3750 0.6250 0.7500  4 Bi 2.72, 4 La 3.01
Ni 0.6250 0.7500 0.3750  4 Bi 2.72, 4 La 3.01
Ni 0.7500 0.3750 0.6250  4 Bi 2.72, 4 La 3.01
Ni 0.8750 0.2500 0.1250  4 Bi 2.72, 4 La 3.01
Bi 0.0000 0.3442 0.5000  3 Ni 2.72
Bi 0.0000 0.8442 0.5000  3 Ni 2.72
Bi 0.1558 0.1558 0.1558  3 Ni 2.72
Bi 0.3442 0.5000 0.0000  3 Ni 2.72
Bi 0.5000 0.0000 0.3442  3 Ni 2.72
Bi 0.5000 0.0000 0.8442  3 Ni 2.72
Bi 0.6558 0.6558 0.6558  3 Ni 2.72
Bi 0.8442 0.5000 0.0000  3 Ni 2.72

Results
- Total magnetization: 0.0 μB per cell
- Final energy: -49.9399 eV/atom
- SG: No. 220
- D(E_F): 20.3 states/eV/cell

---

Record 2
Density functional theory data (SCAN) for La2Ni2Bi at its PBEsol-relaxed geometry.

abc: 7.4337 7.4337 4.0201
angles: 90.00 90.00 90.00
With the nearest neighbours (Å) after each atom.
Positions (direct):
La 0.1791 0.3209 0.0000  6 Ni 2.95-3.01
La 0.3209 0.8209 0.0000  6 Ni 2.95-3.01
La 0.6791 0.1791 0.0000  6 Ni 2.95-3.01
La 0.8209 0.6791 0.0000  6 Ni 2.95-3.01
Ni 0.1154 0.6154 0.5000  1 Ni 2.43
Ni 0.3846 0.1154 0.5000  1 Ni 2.43
Ni 0.6154 0.8846 0.5000  1 Ni 2.43
Ni 0.8846 0.3846 0.5000  1 Ni 2.43
Bi 0.0000 0.0000 0.5000  4 Ni 2.99
Bi 0.5000 0.5000 0.5000  4 Ni 2.99

Results
- Total magnetization: 0.0 μB per cell
- Final energy: -39.9667 eV/atom
- SG: No. 127
- D(E_F): 7.7 states/eV/cell

---

Record 3
Density functional theory data (SCAN) for La2Bi2O7 at its PBEsol-relaxed geometry.

abc: 7.8651 7.8651 7.8651
angles: 60.00 60.00 60.00
With the nearest neighbours (Å) after each atom.
Positions (direct):
La 0.0000 0.0000 0.0000  8 O 2.41-2.62
La 0.0000 0.0000 0.5000  8 O 2.41-2.62
La 0.0000 0.5000 0.0000  8 O 2.41-2.62
La 0.5000 0.0000 0.0000  8 O 2.41-2.62
Bi 0.0000 0.5000 0.5000  6 O 2.23
Bi 0.5000 0.0000 0.5000  6 O 2.23
Bi 0.5000 0.5000 0.0000  6 O 2.23
Bi 0.5000 0.5000 0.5000  6 O 2.23
O 0.1250 0.1250 0.1250  4 La 2.41
O 0.1562 0.1562 0.5938  2 Bi 2.23
O 0.1562 0.5938 0.1562  2 Bi 2.23
O 0.1562 0.5938 0.5938  2 Bi 2.23
O 0.4062 0.4062 0.8438  2 Bi 2.23
O 0.4062 0.8438 0.4062  2 Bi 2.23
O 0.4062 0.8438 0.8438  2 Bi 2.23
O 0.5938 0.1562 0.1562  2 Bi 2.23
O 0.5938 0.1562 0.5938  2 Bi 2.23
O 0.5938 0.5938 0.1562  2 Bi 2.23
O 0.8438 0.4062 0.4062  2 Bi 2.23
O 0.8438 0.4062 0.8438  2 Bi 2.23
O 0.8438 0.8438 0.4062  2 Bi 2.23
O 0.8750 0.8750 0.8750  4 La 2.41

Results
- Formation energy without anion corrections: -2.251 eV per atom
- Total magnetization: 0.0 μB per cell
- SG: No. 227
- D(E_F): 10.1 states/eV/cell

---

Record 4
Density functional theory data (SCAN) for La3BiO at its PBEsol-relaxed geometry.

abc: 4.9996 4.9996 4.9996
angles: 90.00 90.00 90.00
With the nearest neighbours (Å) after each atom.
Positions (direct):
La 0.0000 0.0000 0.5000  2 O 2.50
La 0.0000 0.5000 0.0000  2 O 2.50
La 0.5000 0.0000 0.0000  2 O 2.50
Bi 0.5000 0.5000 0.5000  12 La 3.54
O 0.0000 0.0000 0.0000  6 La 2.50

Results
- Formation energy without anion corrections: -1.678 eV per atom
- Total magnetization: 0.0 μB per cell
- SG: No. 221
- D(E_F): 5.1 states/eV/cell

---

Record 5
Density functional theory data (SCAN) for La2Bi2O7 at its PBEsol-relaxed geometry.

abc: 8.1418 5.9659 14.2754
angles: 90.00 101.27 90.00
With the nearest neighbours (Å) after each atom.
Positions (direct):
La 0.1354 0.0000 0.0647  6 O 2.38-2.62
La 0.2658 0.4344 0.4365  6 O 2.38-2.59
La 0.2749 0.9289 0.6089  4 O 2.34-2.53
La 0.3420 0.4589 0.8900  8 O 2.48-2.72
La 0.6580 0.9589 0.1100  8 O 2.48-2.72
La 0.7251 0.4289 0.3911  4 O 2.34-2.53
La 0.7342 0.9344 0.5635  6 O 2.38-2.59
La 0.8646 0.5000 0.9353  6 O 2.38-2.62
Bi 0.0239 0.4228 0.6205  6 O 2.18-2.40
Bi 0.0682 0.9349 0.8166  6 O 2.10-2.22
Bi 0.4292 0.4591 0.1760  6 O 2.10-2.21
Bi 0.4498 0.9521 0.3427  5 O 2.20-2.44
Bi 0.5502 0.4521 0.6573  5 O 2.20-2.44
Bi 0.5708 0.9591 0.8240  6 O 2.10-2.21
Bi 0.9318 0.4349 0.1834  6 O 2.10-2.22
Bi 0.9761 0.9228 0.3795  6 O 2.18-2.40
O 0.0129 0.5541 0.3232  1 Bi 2.10
O 0.0700 0.2168 0.9112  1 Bi 2.15
O 0.0700 0.6855 0.5147  2 Bi 2.26-2.40, 1 La 2.41
O 0.1035 0.6198 0.7557  2 Bi 2.11-2.24
O 0.1422 0.7271 0.9430  1 Bi 2.18, 1 La 2.39
O 0.1829 0.3260 0.1695  2 Bi 2.14-2.19
O 0.2327 0.0390 0.4272  2 Bi 2.18-2.38, 1 La 2.38
O 0.2985 0.3192 0.6000  2 Bi 2.20-2.39, 2 La 2.34-2.40
O 0.3131 0.0894 0.8073  2 Bi 2.21-2.22
O 0.3780 0.7937 0.1350  1 Bi 2.10
O 0.4202 0.2741 0.0481  1 Bi 2.12
O 0.4281 0.5468 0.3210  1 Bi 2.14
O 0.4343 0.6798 0.7550  2 Bi 2.13-2.28
O 0.4518 0.6951 0.5394  1 Bi 2.25, 2 La 2.36-2.45
O 0.5482 0.1951 0.4606  1 Bi 2.25, 2 La 2.36-2.45
O 0.5657 0.1798 0.2450  2 Bi 2.13-2.28
O 0.5719 0.0468 0.6790  1 Bi 2.14
O 0.5798 0.7741 0.9519  1 Bi 2.12
O 0.6220 0.2937 0.8650  1 Bi 2.10
O 0.6869 0.5894 0.1927  2 Bi 2.21-2.22
O 0.7015 0.8192 0.4000  2 Bi 2.20-2.39, 2 La 2.34-2.40
O 0.7673 0.5390 0.5728  2 Bi 2.18-2.38, 1 La 2.38
O 0.8171 0.8260 0.8305  2 Bi 2.14-2.19
O 0.8578 0.2271 0.0570  1 Bi 2.18, 1 La 2.39
O 0.8965 0.1198 0.2443  2 Bi 2.11-2.24
O 0.9300 0.1855 0.4853  2 Bi 2.26-2.40, 1 La 2.41
O 0.9300 0.7168 0.0888  1 Bi 2.15
O 0.9871 0.0541 0.6768  1 Bi 2.10

Results
- Formation energy without anion corrections: -2.241 eV per atom
- Total magnetization: 0.0 μB per cell
- SG: No. 4
- D(E_F): 0.4 states/eV/cell

---

Record 6
Density functional theory data (SCAN) for La2Bi4O9 at its PBEsol-relaxed geometry.

abc: 9.2461 9.2461 6.8967
angles: 98.30 98.30 24.90
With the nearest neighbours (Å) after each atom.
Positions (direct):
La 0.2433 0.2433 0.2485  8 O 2.46-2.69
La 0.7567 0.7567 0.7515  8 O 2.46-2.69
Bi 0.0830 0.0821 0.8377  4 O 2.14-2.35
Bi 0.4023 0.4445 0.6326  3 O 2.15-2.30
Bi 0.5555 0.5977 0.3674  3 O 2.15-2.30
Bi 0.9179 0.9170 0.1623  4 O 2.14-2.35
O 0.0459 0.9541 0.5000  4 Bi 2.47-2.58
O 0.1245 0.0740 0.1819  2 Bi 2.29-2.35
O 0.2000 0.2043 0.8876  1 Bi 2.14
O 0.3029 0.3037 0.5929  1 Bi 2.15
O 0.3917 0.3960 0.2973  3 Bi 2.26-2.30
O 0.6040 0.6083 0.7027  3 Bi 2.26-2.30
O 0.6963 0.6971 0.4071  1 Bi 2.15
O 0.7957 0.8000 0.1124  1 Bi 2.14
O 0.9260 0.8755 0.8181  2 Bi 2.29-2.35

Results
- Formation energy without anion corrections: -2.011 eV per atom
- Total magnetization: 0.0 μB per cell
- SG: No. 5
- D(E_F): 0.0 states/eV/cell

---

Record 7
Density functional theory data (SCAN) for La3Bi3O11 at its PBEsol-relaxed geometry.

abc: 10.0078 10.0078 10.0078
angles: 90.00 90.00 90.00
With the nearest neighbours (Å) after each atom.
Positions (direct):
La 0.0000 0.0000 0.0000  8 O 2.55-2.57
La 0.0000 0.5000 0.5000  8 O 2.55-2.57
La 0.1222 0.1222 0.3778  3 O 2.33
La 0.1222 0.3778 0.1222  3 O 2.33
La 0.3778 0.1222 0.1222  3 O 2.33
La 0.3778 0.3778 0.3778  3 O 2.33
La 0.5000 0.0000 0.5000  8 O 2.55-2.57
La 0.5000 0.5000 0.0000  8 O 2.55-2.57
La 0.6222 0.6222 0.6222  3 O 2.33
La 0.6222 0.8778 0.8778  3 O 2.33
La 0.8778 0.6222 0.8778  3 O 2.33
La 0.8778 0.8778 0.6222  3 O 2.33
Bi 0.0831 0.7500 0.2500  6 O 2.17-2.22
Bi 0.2500 0.0831 0.7500  6 O 2.17-2.22
Bi 0.2500 0.4169 0.7500  6 O 2.17-2.22
Bi 0.2500 0.7500 0.5831  6 O 2.17-2.22
Bi 0.2500 0.7500 0.9169  6 O 2.17-2.22
Bi 0.4169 0.7500 0.2500  6 O 2.17-2.22
Bi 0.5831 0.2500 0.7500  6 O 2.17-2.22
Bi 0.7500 0.2500 0.0831  6 O 2.17-2.22
Bi 0.7500 0.2500 0.4169  6 O 2.17-2.22
Bi 0.7500 0.5831 0.2500  6 O 2.17-2.22
Bi 0.7500 0.9169 0.2500  6 O 2.17-2.22
Bi 0.9169 0.2500 0.7500  6 O 2.17-2.22
O 0.0314 0.0604 0.7526  2 Bi 2.20-2.22
O 0.0314 0.4396 0.7474  2 Bi 2.20-2.22
O 0.0604 0.7474 0.4686  2 Bi 2.20-2.22
O 0.0604 0.7526 0.0314  2 Bi 2.20-2.22
O 0.1114 0.7500 0.7500  2 Bi 2.17
O 0.1472 0.1472 0.1472  4 La 2.33-2.55
O 0.1472 0.3528 0.3528  4 La 2.33-2.55
O 0.2474 0.5314 0.5604  2 Bi 2.20-2.22
O 0.2474 0.9686 0.9396  2 Bi 2.20-2.22
O 0.2500 0.2500 0.6114  2 Bi 2.17
O 0.2500 0.2500 0.8886  2 Bi 2.17
O 0.2500 0.6114 0.2500  2 Bi 2.17
O 0.2500 0.8886 0.2500  2 Bi 2.17
O 0.2526 0.5314 0.9396  2 Bi 2.20-2.22
O 0.2526 0.9686 0.5604  2 Bi 2.20-2.22
O 0.3528 0.1472 0.3528  4 La 2.33-2.55
O 0.3528 0.3528 0.1472  4 La 2.33-2.55
O 0.3886 0.7500 0.7500  2 Bi 2.17
O 0.4396 0.7474 0.0314  2 Bi 2.20-2.22
O 0.4396 0.7526 0.4686  2 Bi 2.20-2.22
O 0.4686 0.0604 0.7474  2 Bi 2.20-2.22
O 0.4686 0.4396 0.7526  2 Bi 2.20-2.22
O 0.5314 0.5604 0.2474  2 Bi 2.20-2.22
O 0.5314 0.9396 0.2526  2 Bi 2.20-2.22
O 0.5604 0.2474 0.5314  2 Bi 2.20-2.22
O 0.5604 0.2526 0.9686  2 Bi 2.20-2.22
O 0.6114 0.2500 0.2500  2 Bi 2.17
O 0.6472 0.6472 0.8528  4 La 2.33-2.55
O 0.6472 0.8528 0.6472  4 La 2.33-2.55
O 0.7474 0.0314 0.4396  2 Bi 2.20-2.22
O 0.7474 0.4686 0.0604  2 Bi 2.20-2.22
O 0.7500 0.1114 0.7500  2 Bi 2.17
O 0.7500 0.3886 0.7500  2 Bi 2.17
O 0.7500 0.7500 0.1114  2 Bi 2.17
O 0.7500 0.7500 0.3886  2 Bi 2.17
O 0.7526 0.0314 0.0604  2 Bi 2.20-2.22
O 0.7526 0.4686 0.4396  2 Bi 2.20-2.22
O 0.8528 0.6472 0.6472  4 La 2.33-2.55
O 0.8528 0.8528 0.8528  4 La 2.33-2.55
O 0.8886 0.2500 0.2500  2 Bi 2.17
O 0.9396 0.2474 0.9686  2 Bi 2.20-2.22
O 0.9396 0.2526 0.5314  2 Bi 2.20-2.22
O 0.9686 0.5604 0.2526  2 Bi 2.20-2.22
O 0.9686 0.9396 0.2474  2 Bi 2.20-2.22

Results
- Formation energy without anion corrections: -2.149 eV per atom
- Total magnetization: 0.0 μB per cell
- SG: No. 201
- D(E_F): 19.0 states/eV/cell

---

Record 8
Density functional theory data (SCAN) for LaBiS2O at its PBEsol-relaxed geometry.

abc: 4.0010 4.0010 13.9244
angles: 90.00 90.00 90.00
With the nearest neighbours (Å) after each atom.
Positions (direct):
La 0.2500 0.2500 0.0894  4 O 2.36
La 0.7500 0.7500 0.9106  4 O 2.36
Bi 0.2500 0.2500 0.6296  1 S 2.51
Bi 0.7500 0.7500 0.3704  1 S 2.51
S 0.2500 0.2500 0.3939  4 Bi 2.85
S 0.2500 0.2500 0.8096  1 Bi 2.51
S 0.7500 0.7500 0.1904  1 Bi 2.51
S 0.7500 0.7500 0.6061  4 Bi 2.85
O 0.2500 0.7500 0.0000  4 La 2.36
O 0.7500 0.2500 0.0000  4 La 2.36

Results
- Formation energy without anion corrections: -1.910 eV per atom
- Total magnetization: 0.0 μB per cell
- SG: No. 129